First-principles (PBE) data for a geometry-optimized Y4Ho3Mg structure, as listed in Alexandria.

Cell and atoms, written as extended XYZ:
```
8
Lattice="-0.0605 2.5206 -2.5230 2.2452 -1.9336 -1.9856 -15.0043 -8.7820 -8.4141" Properties=species:S:1:pos:R:3 pbc="T T T"
Y -13.2950 -7.7816 -7.4555
Y -1.7093 -1.0005 -0.9585
Y -5.5601 -3.2543 -3.1180
Y -9.4443 -5.5277 -5.2961
Mg 1.0924 0.2935 -2.2543
Ho -2.5261 -1.8244 -4.2834
Ho -6.4098 -4.0975 -6.4613
Ho -10.2935 -6.3707 -8.6392
```

Calculated values
Its space group is P4/mmm (123). The volume comes out at 30.7 Å³ per atom. For the total energy, the calculation gives -41.2 eV for the cell shown. For the formation energy, the calculation gives -5 meV per atom.


First-principles (PBE) data for a geometry-optimized YAs2BrCl structure, as listed in Alexandria.

Cell and atoms, written as extended XYZ:
```
5
Lattice="-2.0961 -4.1749 -3.1747 0.3065 -3.5105 4.4141 -5.0289 1.4079 1.4689" Properties=species:S:1:pos:R:3 pbc="T T T"
Y 0.0000 0.0000 0.0000
As 0.1533 -1.7553 2.2071
As -1.0480 -2.0874 -1.5874
Br -2.5145 0.7039 0.7344
Cl -3.4093 -3.1388 1.3542
```

Calculated values
Its space group is P4/mmm (123). The volume comes out at 34.6 Å³ per atom. Its offset from the most stable computed form is 0 meV/atom. For the total energy, the calculation gives -19.4 eV for the cell shown. The value obtained for the uncorrected formation energy is -2.77 kJ per mole of atoms.


First-principles (PBE) data for a geometry-optimized MgZnSe2 structure, as listed in Alexandria.

Cell and atoms, written as extended XYZ:
```
4
Lattice="3.5749 0.0000 0.0000 0.0000 4.2899 -0.7907 0.0000 -2.6158 7.1575" Properties=species:S:1:pos:R:3 pbc="T T T"
Mg 1.7875 1.2556 4.7751
Se 0.0000 0.9498 -0.1655
Se 0.0000 -0.1128 3.3489
Zn 1.7875 0.4185 1.5917
```

Calculated values
Its space group is P2/m (10). The volume comes out at 25.6 Å³ per atom. For the total energy, the calculation gives -12.1 eV for the cell shown. The value obtained for the uncorrected formation energy is -53.47 kJ per mole of atoms.


First-principles (PBE) data for a geometry-optimized Ru2Pb structure, as listed in Alexandria.

Cell and atoms, written as extended XYZ:
```
6
Lattice="2.5688 -4.2692 0.0000 2.5688 4.2692 0.0000 0.0000 0.0000 4.6916" Properties=species:S:1:pos:R:3 pbc="T T T"
Ru 3.4482 -1.5234 1.1729
Ru 1.6894 1.5234 3.5187
Ru 3.4482 1.5234 1.1729
Ru 1.6894 -1.5234 3.5187
Pb 1.0580 0.0000 1.1729
Pb 4.0796 0.0000 3.5187
```

Calculated values
Its space group is Cmcm (63). The volume comes out at 17.2 Å³ per atom. Its offset from the most stable computed form is 164 meV/atom. For the total energy, the calculation gives -41.1 eV for the cell shown. For the formation energy, the calculation gives 574 meV per atom.